Density functional theory data (PBE) for an optimized crystal structure of Ca5In4Hg.

## Properties
Uncorrected energy ... -2.6143 eV/atom

abc: 3.867 3.867 18.960
angles: 90.00 90.00 90.00
Positions (direct):
1 Ca 0.500 0.500 0.500
2 Ca 0.500 0.500 0.299
3 Ca 0.500 0.500 0.097
4 Hg 0.000 0.000 0.000
5 In 0.000 0.000 0.800
6 Ca 0.500 0.500 0.701
7 In 0.000 0.000 0.200
8 Ca 0.500 0.500 0.903
9 In 0.000 0.000 0.399
10 In 0.000 0.000 0.601

Density functional theory data (PBE) for an optimized crystal structure of Tb10SmSc4.

## Properties
Uncorrected energy ... -4.5126 eV/atom

abc: 8.834 8.735 8.735
angles: 75.18 59.62 59.62
Positions (direct):
1 Sc 0.271 0.276 0.182
2 Tb 0.750 0.500 0.500
3 Tb 0.250 0.500 0.500
4 Tb 0.402 0.903 0.664
5 Tb 0.695 0.336 0.903
6 Sc 0.453 0.818 0.276
7 Tb 0.031 0.903 0.664
8 Sc 0.547 0.182 0.724
9 Tb 0.969 0.097 0.336
10 Tb 0.598 0.097 0.336
11 Sm 0.000 0.000 0.000
12 Tb 0.305 0.664 0.097
13 Tb 0.066 0.336 0.903
14 Tb 0.934 0.664 0.097
15 Sc 0.729 0.724 0.818

Density functional theory data (PBE) for an optimized crystal structure of Tb6Zn2Cd.

## Properties
Distance to the lowest polymorph of the same formula ... 0.000 eV per atom
Uncorrected energy ... -3.6620 eV/atom

abc: 8.626 8.626 8.626
angles: 107.97 111.16 109.30
Positions (direct):
1 Zn 0.500 0.625 0.125
2 Tb 0.716 0.398 0.681
3 Zn 0.635 0.000 0.635
4 Tb 0.548 0.729 0.819
5 Tb 0.089 0.271 0.819
6 Tb 0.795 0.756 0.551
7 Tb 0.205 0.756 0.961
8 Tb 0.284 0.965 0.681
9 Zn 0.500 0.375 0.875
10 Tb 0.716 0.035 0.319
11 Tb 0.911 0.729 0.181
12 Tb 0.284 0.602 0.319
13 Tb 0.205 0.244 0.449
14 Cd 0.000 0.500 0.500
15 Zn 0.365 0.000 0.365
16 Tb 0.452 0.271 0.181
17 Tb 0.795 0.244 0.039
18 Cd 0.000 0.000 0.000

Density functional theory data (PBE) for an optimized crystal structure of NdDy6Tl4.

## Properties
Uncorrected energy ... -4.0365 eV/atom

abc: 3.767 10.102 10.102
angles: 120.00 90.00 90.00
Last column: magnetic moment on the atom in μB.
Positions (direct):
1 Tl 0.500 0.326 0.163  -0.01
2 Dy 0.500 0.192 0.808  0.19
3 Tl 0.000 0.333 0.667  -0.01
4 Tl 0.500 0.837 0.674  -0.01
5 Dy 0.000 0.921 0.460  0.32
6 Dy 0.000 0.540 0.079  0.32
7 Dy 0.500 0.616 0.808  0.19
8 Dy 0.500 0.192 0.384  0.19
9 Dy 0.000 0.540 0.460  0.32
10 Tl 0.500 0.837 0.163  -0.01
11 Nd 0.000 0.000 0.000  0.07

| no. | ΔE_f (eV per atom) | theoretical density (g/cm3) |
| --- | --- | --- |
| 1 | -0.49 | 5.037 |
| 2 | 0.58 | 6.353 |
| 3 | -0.19 | 8.050 |
| 4 | -0.23 | 9.662 |